[1]
First-principles (PBE) data for Ca2LaAg2 after structural relaxation, as listed in Alexandria.

Output
energy: -3.152 eV per atom
magnetic moment: 0.00 μB/f.u.
formation energy from the elements: -0.2255 eV per atom
relative energy among the computed polymorphs: 0.0000 eV/atom

abc: 8.121 8.121 4.496
angles: 90.00 90.00 90.00
Space group P4/mbm (No. 127)
Symmetry-distinct sites (fractional):
Ca: 0.165 0.335 0.000 x4
La: 0.000 0.000 0.500 x2
Ag: 0.126 0.626 0.500 x4


[2]
First-principles (PBE) data for Li2CaLaAg2 after structural relaxation, as listed in Alexandria.

Output
energy: -2.903 eV per atom
magnetic moment: 0.00 μB/f.u.
formation energy from the elements: -0.1595 eV per atom

abc: 4.7720 4.7720 7.4095
angles: 90.00 90.00 120.00
Space group P-3m1 (No. 164)
Symmetry-distinct sites (fractional):
Li: 0.3333 0.6667 0.2191 x2
Ca: 0.0000 0.0000 0.0000 x1
La: 0.0000 0.0000 0.5000 x1
Ag: 0.3333 0.6667 0.7590 x2


[3]
First-principles (PBE) data for CaLaMgAg after structural relaxation, as listed in Alexandria.

Output
energy: -3.033 eV per atom
magnetic moment: 0.33 μB/f.u.
formation energy from the elements: -0.1896 eV per atom

abc: 3.843 3.843 7.811
angles: 90.00 90.00 90.00
Space group P4mm (No. 99)
Symmetry-distinct sites (fractional):
Ca: 0.000 0.000 0.000 x1
La: 0.000 0.000 0.468 x1
Mg: 0.500 0.500 0.737 x1
Ag: 0.500 0.500 0.228 x1


[4]
First-principles (PBE) data for CaLaAgN after structural relaxation, as listed in Alexandria.

Output
uncorrected formation energy: -15.40 kcal/mol of atoms
energy: -5.194 eV per atom
magnetic moment: 0.00 μB/f.u.

abc: 5.105 4.923 7.723
angles: 90.00 108.84 90.00
Space group Cm (No. 8)
Symmetry-distinct sites (fractional):
Ca: 0.000 0.000 0.000 x2
La: 0.192 0.500 0.397 x2
Ag: 0.375 0.000 0.742 x2
N: 0.201 0.000 0.318 x2


[5]
First-principles (PBE) data for Ca2LaAgN after structural relaxation, as listed in Alexandria.

Output
uncorrected formation energy: -13.29 kcal/mol of atoms
energy: -4.598 eV per atom
magnetic moment: 0.00 μB/f.u.

abc: 4.976 4.976 4.990
angles: 90.00 90.00 90.00
Space group P4/mmm (No. 123)
Symmetry-distinct sites (fractional):
Ca: 0.000 0.500 0.000 x2
La: 0.000 0.000 0.500 x1
Ag: 0.500 0.500 0.500 x1
N: 0.000 0.000 0.000 x1


[6]
First-principles (PBE) data for CaLa2AgN after structural relaxation, as listed in Alexandria.

Output
uncorrected formation energy: -13.85 kcal/mol of atoms
energy: -5.207 eV per atom
magnetic moment: 0.00 μB/f.u.

abc: 5.090 5.090 4.923
angles: 90.00 90.00 90.00
Space group P4/mmm (No. 123)
Symmetry-distinct sites (fractional):
Ca: 0.000 0.000 0.000 x1
La: 0.000 0.500 0.500 x2
Ag: 0.500 0.500 0.000 x1
N: 0.000 0.000 0.500 x1


> energy of number 3 (CaLaMgAg)?

-3.033 eV per atom


> Look up the magnetic moment of the fourth one.

0.00 μB/f.u.